A relaxed structure of Ca5Os2N6, computed with PBE.

```
26
Lattice="5.028 -3.310 0.000 5.028 3.310 0.000 -2.882 0.000 12.264" Properties=species:S:1:pos:R:3 pbc="T T T"
Ca 2.866 2.551 9.198
Ca 1.477 1.706 12.248
Ca 2.609 0.721 3.463
Ca 4.256 1.706 6.148
Ca 1.168 -0.721 9.595
Ca 6.005 0.721 2.669
Ca 2.918 -1.706 6.116
Ca 4.564 -0.721 8.801
Ca 5.697 -1.706 0.016
Ca 4.307 -2.551 3.066
Os 1.105 0.587 6.837
Os 2.546 -0.587 0.705
Os 4.627 0.587 11.559
Os 6.069 -0.587 5.427
N -0.440 0.269 7.889
N 1.001 -0.269 1.757
N 0.913 0.068 5.046
N -0.528 -0.068 11.178
N 2.750 0.283 7.680
N 4.191 -0.283 1.548
N 2.982 0.283 10.715
N 4.424 -0.283 4.584
N 7.702 0.068 1.086
N 6.260 -0.068 7.218
N 6.172 0.269 10.507
N 7.613 -0.269 4.375
```

Computed properties:
SG: No. 15
formation energy (no corrections): -55 kJ per mole of atoms